Material: K3Na4Hg4
Method: DFT, PBE
State: optimized geometry

Structure (CIF):
```
data_K3Na4Hg4
_space_group_name_H-M_alt 'I m m m'
_space_group_IT_number 71
_space_group_name_Hall '-I 2 2'
_cell_length_a 5.0519
_cell_length_b 8.9694
_cell_length_c 17.4133
_cell_angle_alpha 90.00
_cell_angle_beta 90.00
_cell_angle_gamma 90.00
loop_
_atom_site_label
_atom_site_type_symbol
_atom_site_fract_x
_atom_site_fract_y
_atom_site_fract_z
K1 K 0.0000 0.0000 0.0000
K2 K 0.0000 0.5000 0.1222
Na1 Na 0.0000 0.3031 0.3274
Hg1 Hg 0.0000 0.0000 0.2227
Hg2 Hg 0.0000 0.1722 0.5000
```

Output
* energy of formation: -191 meV/atom
* magnetization: 0.00 μB per formula unit

Material: CsTc2As2
Method: DFT, PBE
State: optimized geometry

Structure (CIF):
```
data_CsTc2As2
_space_group_name_H-M_alt 'P 4/m m m'
_space_group_IT_number 123
_space_group_name_Hall '-P 4 2'
_cell_length_a 3.8583
_cell_length_b 3.8583
_cell_length_c 8.1595
_cell_angle_alpha 90.00
_cell_angle_beta 90.00
_cell_angle_gamma 90.00
loop_
_atom_site_label
_atom_site_type_symbol
_atom_site_fract_x
_atom_site_fract_y
_atom_site_fract_z
Cs1 Cs 0.0000 0.0000 0.0000
Tc1 Tc 0.0000 0.5000 0.5000
As1 As 0.5000 0.5000 0.2918
```

Output
* energy of formation: -27 meV/atom
* magnetization: 0.00 μB per formula unit

Material: Tm3Mg12Sc
Method: DFT, PBE
State: optimized geometry

Structure (CIF):
```
data_Tm3Mg12Sc
_space_group_name_H-M_alt 'P 4/m m m'
_space_group_IT_number 123
_space_group_name_Hall '-P 4 2'
_cell_length_a 4.5643
_cell_length_b 4.5643
_cell_length_c 18.7191
_cell_angle_alpha 90.00
_cell_angle_beta 90.00
_cell_angle_gamma 90.00
loop_
_atom_site_label
_atom_site_type_symbol
_atom_site_fract_x
_atom_site_fract_y
_atom_site_fract_z
Tm1 Tm 0.0000 0.0000 0.0000
Tm2 Tm 0.0000 0.0000 0.2532
Mg1 Mg 0.0000 0.5000 0.1267
Mg2 Mg 0.0000 0.5000 0.3794
Mg3 Mg 0.5000 0.5000 0.0000
Mg4 Mg 0.5000 0.5000 0.2532
Mg5 Mg 0.5000 0.5000 0.5000
Sc1 Sc 0.0000 0.0000 0.5000
```

Output
* energy of formation: -41 meV/atom
* magnetization: 0.00 μB per formula unit

Material: PuSb2Rh3
Method: DFT, PBE
State: optimized geometry

Structure (CIF):
```
data_PuSb2Rh3
_space_group_name_H-M_alt 'C 1 2/m 1'
_space_group_IT_number 12
_cell_length_a 17.4217
_cell_length_b 4.1810
_cell_length_c 10.1917
_cell_angle_alpha 90.00
_cell_angle_beta 107.00
_cell_angle_gamma 90.00
loop_
_space_group_symop_operation_xyz
'x,y,z'
'-x,-y,-z'
'-x,y,-z'
'x,-y,z'
'x+1/2,y+1/2,z'
'-x+1/2,-y+1/2,-z'
'-x+1/2,y+1/2,-z'
'x+1/2,-y+1/2,z'
loop_
_atom_site_label
_atom_site_type_symbol
_atom_site_fract_x
_atom_site_fract_y
_atom_site_fract_z
Pu1 Pu 0.0000 0.0000 0.0000
Pu2 Pu 0.1657 0.0000 0.7094
Sb1 Sb 0.0426 0.5000 0.7797
Sb2 Sb 0.1391 0.5000 0.4587
Sb3 Sb 0.1906 0.0000 0.1267
Rh1 Rh 0.0000 0.5000 0.5000
Rh2 Rh 0.0425 0.0000 0.3305
Rh3 Rh 0.1123 0.5000 0.1933
Rh4 Rh 0.1825 0.5000 0.9616
Rh5 Rh 0.2145 0.0000 0.3933
```

Output
* magnetization: 1.94 μB per formula unit
* energy relative to the elements, uncorrected: -3.30 eV per formula unit

Material: SiAgI3
Method: DFT, PBE
State: optimized geometry

Structure (CIF):
```
data_SiAgI3
_space_group_name_H-M_alt 'P m -3 m'
_space_group_IT_number 221
_space_group_name_Hall '-P 4 2 3'
_cell_length_a 5.6185
_cell_length_b 5.6185
_cell_length_c 5.6185
_cell_angle_alpha 90.00
_cell_angle_beta 90.00
_cell_angle_gamma 90.00
loop_
_atom_site_label
_atom_site_type_symbol
_atom_site_fract_x
_atom_site_fract_y
_atom_site_fract_z
Si1 Si 0.0000 0.0000 0.0000
Ag1 Ag 0.5000 0.5000 0.5000
I1 I 0.0000 0.0000 0.5000
```

Output
* magnetization: 0.00 μB per formula unit
* distance to the lowest polymorph of the same formula: 0.00 eV per formula unit
* energy relative to the elements, uncorrected: 1.11 eV per formula unit

Material: Sm4Co2Ni5
Method: DFT, PBE
State: optimized geometry

Structure (CIF):
```
data_Sm4Co2Ni5
_space_group_name_H-M_alt 'P 1 2/m 1'
_space_group_IT_number 10
_cell_length_a 6.4470
_cell_length_b 4.1087
_cell_length_c 7.5114
_cell_angle_alpha 90.00
_cell_angle_beta 91.41
_cell_angle_gamma 90.00
loop_
_space_group_symop_operation_xyz
'x,y,z'
'-x,-y,-z'
'-x,y,-z'
'x,-y,z'
loop_
_atom_site_label
_atom_site_type_symbol
_atom_site_fract_x
_atom_site_fract_y
_atom_site_fract_z
Sm1 Sm 0.2425 0.0000 0.3749
Sm2 Sm 0.2521 0.0000 0.8802
Co1 Co 0.0896 0.5000 0.1283
Ni1 Ni 0.1325 0.5000 0.6238
Ni2 Ni 0.4541 0.5000 0.1653
Ni3 Ni 0.5000 0.5000 0.5000
```

Output
* energy of formation: -230 meV/atom
* magnetization: 2.16 μB per formula unit

Material: CeEuHoAl
Method: DFT, PBE
State: optimized geometry

Structure (CIF):
```
data_CeEuHoAl
_space_group_name_H-M_alt 'F -4 3 m'
_space_group_IT_number 216
_space_group_name_Hall 'F -4 2 3'
_cell_length_a 7.6272
_cell_length_b 7.6272
_cell_length_c 7.6272
_cell_angle_alpha 90.00
_cell_angle_beta 90.00
_cell_angle_gamma 90.00
loop_
_atom_site_label
_atom_site_type_symbol
_atom_site_fract_x
_atom_site_fract_y
_atom_site_fract_z
Ce1 Ce 0.0000 0.0000 0.0000
Eu1 Eu 0.2500 0.2500 0.7500
Ho1 Ho 0.0000 0.0000 0.5000
Al1 Al 0.2500 0.2500 0.2500
```

Output
* energy of formation: 2 meV/atom
* magnetization: 8.77 μB per formula unit

Material: ScW2Se
Method: DFT, PBE
State: optimized geometry

Structure (CIF):
```
data_ScW2Se
_space_group_name_H-M_alt 'C m m m'
_space_group_IT_number 65
_space_group_name_Hall '-C 2 2'
_cell_length_a 3.5280
_cell_length_b 4.6995
_cell_length_c 8.4967
_cell_angle_alpha 90.00
_cell_angle_beta 90.00
_cell_angle_gamma 90.00
loop_
_atom_site_label
_atom_site_type_symbol
_atom_site_fract_x
_atom_site_fract_y
_atom_site_fract_z
Sc1 Sc 0.0000 0.0000 0.0000
W1 W 0.0000 0.5000 0.2729
Se1 Se 0.0000 0.0000 0.5000
```

Output
* magnetization: 0.00 μB per formula unit
* energy relative to the elements, uncorrected: 2.10 eV per formula unit

Material: EuGeTe2
Method: DFT, PBE
State: optimized geometry

Structure (CIF):
```
data_EuGeTe2
_space_group_name_H-M_alt 'R -3 m'
_space_group_IT_number 166
_space_group_name_Hall '-R 3 2"'
_cell_length_a 4.4491
_cell_length_b 4.4491
_cell_length_c 22.1418
_cell_angle_alpha 90.00
_cell_angle_beta 90.00
_cell_angle_gamma 120.00
loop_
_atom_site_label
_atom_site_type_symbol
_atom_site_fract_x
_atom_site_fract_y
_atom_site_fract_z
Eu1 Eu 0.0000 0.0000 0.0000
Ge1 Ge 0.0000 0.0000 0.5000
Te1 Te 0.0000 0.0000 0.2425
```

Output
* magnetization: 7.00 μB per formula unit
* energy relative to the elements, uncorrected: -3.23 eV per formula unit

Material: BaMnAs
Method: DFT, PBE
State: optimized geometry

Structure (CIF):
```
data_BaMnAs
_space_group_name_H-M_alt 'F m m 2'
_space_group_IT_number 42
_space_group_name_Hall 'F 2 -2'
_cell_length_a 8.4129
_cell_length_b 10.0358
_cell_length_c 7.8940
_cell_angle_alpha 90.00
_cell_angle_beta 90.00
_cell_angle_gamma 90.00
loop_
_atom_site_label
_atom_site_type_symbol
_atom_site_fract_x
_atom_site_fract_y
_atom_site_fract_z
Ba1 Ba 0.0000 0.1889 0.0000
Mn1 Mn 0.1151 0.0000 0.3825
As1 As 0.1962 0.0000 0.6690
```

Output
* energy of formation: -280 meV/atom
* magnetization: 1.10 μB per formula unit

Material: LaCdCoPb2
Method: DFT, PBE
State: optimized geometry

Structure (CIF):
```
data_LaCdCoPb2
_space_group_name_H-M_alt 'P 4/m m m'
_space_group_IT_number 123
_space_group_name_Hall '-P 4 2'
_cell_length_a 5.1713
_cell_length_b 5.1713
_cell_length_c 5.0167
_cell_angle_alpha 90.00
_cell_angle_beta 90.00
_cell_angle_gamma 90.00
loop_
_atom_site_label
_atom_site_type_symbol
_atom_site_fract_x
_atom_site_fract_y
_atom_site_fract_z
La1 La 0.0000 0.0000 0.0000
Cd1 Cd 0.5000 0.5000 0.0000
Co1 Co 0.0000 0.0000 0.5000
Pb1 Pb 0.0000 0.5000 0.5000
```

Output
* energy of formation: -151 meV/atom
* magnetization: 0.00 μB per formula unit

Material: LiRePb
Method: DFT, PBE
State: optimized geometry

Structure (CIF):
```
data_LiRePb
_space_group_name_H-M_alt 'I 4 m m'
_space_group_IT_number 107
_space_group_name_Hall 'I 4 -2'
_cell_length_a 2.9088
_cell_length_b 2.9088
_cell_length_c 13.8268
_cell_angle_alpha 90.00
_cell_angle_beta 90.00
_cell_angle_gamma 90.00
loop_
_atom_site_label
_atom_site_type_symbol
_atom_site_fract_x
_atom_site_fract_y
_atom_site_fract_z
Li1 Li 0.0000 0.0000 0.0000
Re1 Re 0.0000 0.0000 0.6391
Pb1 Pb 0.0000 0.0000 0.3028
```

Output
* energy of formation: 746 meV/atom
* magnetization: 0.00 μB per formula unit
* distance to the lowest polymorph of the same formula: 0.17 eV per formula unit

Material: NdHo3Rh2
Method: DFT, PBE
State: optimized geometry

Structure (CIF):
```
data_NdHo3Rh2
_space_group_name_H-M_alt 'C 1 2/m 1'
_space_group_IT_number 12
_cell_length_a 16.1567
_cell_length_b 4.2649
_cell_length_c 10.7422
_cell_angle_alpha 90.00
_cell_angle_beta 116.07
_cell_angle_gamma 90.00
loop_
_space_group_symop_operation_xyz
'x,y,z'
'-x,-y,-z'
'-x,y,-z'
'x,-y,z'
'x+1/2,y+1/2,z'
'-x+1/2,-y+1/2,-z'
'-x+1/2,y+1/2,-z'
'x+1/2,-y+1/2,z'
loop_
_atom_site_label
_atom_site_type_symbol
_atom_site_fract_x
_atom_site_fract_y
_atom_site_fract_z
Nd1 Nd 0.0560 0.0000 0.2111
Ho1 Ho 0.0745 0.5000 0.6673
Ho2 Ho 0.1696 0.5000 0.0275
Ho3 Ho 0.2127 0.0000 0.5946
Rh1 Rh 0.1185 0.5000 0.4220
Rh2 Rh 0.1383 0.0000 0.8447
```

Output
* energy of formation: -581 meV/atom
* magnetization: 0.00 μB per formula unit

Material: HfRh2Au2
Method: DFT, PBE
State: optimized geometry

Structure (CIF):
```
data_HfRh2Au2
_space_group_name_H-M_alt 'P 4/m b m'
_space_group_IT_number 127
_space_group_name_Hall '-P 4 2ab'
_cell_length_a 6.7296
_cell_length_b 6.7296
_cell_length_c 3.9222
_cell_angle_alpha 90.00
_cell_angle_beta 90.00
_cell_angle_gamma 90.00
loop_
_atom_site_label
_atom_site_type_symbol
_atom_site_fract_x
_atom_site_fract_y
_atom_site_fract_z
Hf1 Hf 0.0000 0.0000 0.0000
Rh1 Rh 0.1371 0.3629 0.0000
Au1 Au 0.1628 0.6628 0.5000
```

Output
* energy of formation: -252 meV/atom
* magnetization: 0.00 μB per formula unit

Material: Cs2HoAs2S6
Method: DFT, PBE
State: optimized geometry

Structure (CIF):
```
data_Cs2HoAs2S6
_space_group_name_H-M_alt 'C 1 2/m 1'
_space_group_IT_number 12
_cell_length_a 12.4225
_cell_length_b 7.1881
_cell_length_c 8.6053
_cell_angle_alpha 90.00
_cell_angle_beta 118.29
_cell_angle_gamma 90.00
loop_
_space_group_symop_operation_xyz
'x,y,z'
'-x,-y,-z'
'-x,y,-z'
'x,-y,z'
'x+1/2,y+1/2,z'
'-x+1/2,-y+1/2,-z'
'-x+1/2,y+1/2,-z'
'x+1/2,-y+1/2,z'
loop_
_atom_site_label
_atom_site_type_symbol
_atom_site_fract_x
_atom_site_fract_y
_atom_site_fract_z
Cs1 Cs 0.2096 0.0000 0.1874
Ho1 Ho 0.0000 0.0000 0.5000
As1 As 0.0559 0.5000 0.1966
S1 S 0.0342 0.2469 0.7652
S2 S 0.2429 0.0000 0.6152
```

Output
* magnetization: 0.00 μB per formula unit
* energy relative to the elements, uncorrected: -9.16 eV per formula unit

Material: SmY2HoAs4
Method: DFT, PBE
State: optimized geometry

Structure (CIF):
```
data_SmY2HoAs4
_space_group_name_H-M_alt 'P 1 2/m 1'
_space_group_IT_number 10
_cell_length_a 7.1711
_cell_length_b 4.1433
_cell_length_c 7.1718
_cell_angle_alpha 90.00
_cell_angle_beta 109.47
_cell_angle_gamma 90.00
loop_
_space_group_symop_operation_xyz
'x,y,z'
'-x,-y,-z'
'-x,y,-z'
'x,-y,z'
loop_
_atom_site_label
_atom_site_type_symbol
_atom_site_fract_x
_atom_site_fract_y
_atom_site_fract_z
Sm1 Sm 0.0000 0.0000 0.0000
Y1 Y 0.5000 0.0000 0.5000
Y2 Y 0.5000 0.5000 0.0000
Ho1 Ho 0.0000 0.5000 0.5000
As1 As 0.2505 0.0000 0.7470
As2 As 0.2528 0.5000 0.2542
```

Output
* energy of formation: -1540 meV/atom
* magnetization: 0.00 μB per formula unit

Material: PmPrAg3
Method: DFT, PBE
State: optimized geometry

Structure (CIF):
```
data_PmPrAg3
_space_group_name_H-M_alt 'C m c m'
_space_group_IT_number 63
_space_group_name_Hall '-C 2c 2'
_cell_length_a 3.6408
_cell_length_b 28.5907
_cell_length_c 4.8462
_cell_angle_alpha 90.00
_cell_angle_beta 90.00
_cell_angle_gamma 90.00
loop_
_atom_site_label
_atom_site_type_symbol
_atom_site_fract_x
_atom_site_fract_y
_atom_site_fract_z
Pm1 Pm 0.0000 0.2089 0.2500
Pr1 Pr 0.0000 0.0737 0.7500
Ag1 Ag 0.0000 0.3250 0.2500
Ag2 Ag 0.0000 0.3799 0.7500
Ag3 Ag 0.0000 0.4766 0.7500
```

Output
* energy of formation: -248 meV/atom
* magnetization: 0.00 μB per formula unit
* distance to the lowest polymorph of the same formula: 0.00 eV per formula unit

Material: Tl2In2I7
Method: DFT, PBE
State: optimized geometry

Structure (CIF):
```
data_Tl2In2I7
_space_group_name_H-M_alt 'P 1 21/c 1'
_space_group_IT_number 14
_cell_length_a 7.4535
_cell_length_b 17.5885
_cell_length_c 9.1380
_cell_angle_alpha 90.00
_cell_angle_beta 98.98
_cell_angle_gamma 90.00
loop_
_space_group_symop_operation_xyz
'x,y,z'
'-x,-y,-z'
'-x,y+1/2,-z+1/2'
'x,-y+1/2,z+1/2'
loop_
_atom_site_label
_atom_site_type_symbol
_atom_site_fract_x
_atom_site_fract_y
_atom_site_fract_z
Tl1 Tl 0.1361 0.1519 0.4229
In1 In 0.3291 0.6161 0.6601
I1 I 0.0228 0.6744 0.4690
I2 I 0.2024 0.5531 0.9118
I3 I 0.4231 0.2321 0.7245
I4 I 0.5000 0.0000 0.0000
```

Output
* magnetization: 0.00 μB per formula unit
* energy relative to the elements, uncorrected: -5.61 eV per formula unit

Material: Pr12CdRh6
Method: DFT, PBE
State: optimized geometry

Structure (CIF):
```
data_Pr12CdRh6
_space_group_name_H-M_alt 'I m -3'
_space_group_IT_number 204
_space_group_name_Hall '-I 2 2 3'
_cell_length_a 10.2976
_cell_length_b 10.2976
_cell_length_c 10.2976
_cell_angle_alpha 90.00
_cell_angle_beta 90.00
_cell_angle_gamma 90.00
loop_
_atom_site_label
_atom_site_type_symbol
_atom_site_fract_x
_atom_site_fract_y
_atom_site_fract_z
Pr1 Pr 0.0000 0.3059 0.1856
Cd1 Cd 0.0000 0.0000 0.0000
Rh1 Rh 0.0000 0.1314 0.5000
```

Output
* energy of formation: -468 meV/atom
* magnetization: 0.00 μB per formula unit

Material: LaTh2
Method: DFT, PBE
State: optimized geometry

Structure (CIF):
```
data_LaTh2
_space_group_name_H-M_alt 'I 4/m m m'
_space_group_IT_number 139
_space_group_name_Hall '-I 4 2'
_cell_length_a 3.5970
_cell_length_b 3.5970
_cell_length_c 15.4149
_cell_angle_alpha 90.00
_cell_angle_beta 90.00
_cell_angle_gamma 90.00
loop_
_atom_site_label
_atom_site_type_symbol
_atom_site_fract_x
_atom_site_fract_y
_atom_site_fract_z
La1 La 0.0000 0.0000 0.0000
Th1 Th 0.0000 0.0000 0.3288
```

Output
* energy of formation: 45 meV/atom
* magnetization: 0.00 μB per formula unit
* distance to the lowest polymorph of the same formula: 0.00 eV per formula unit